Crystalline TaTlAs2 at its relaxed geometry, computed with PBE.

Cell: 5.3251 2.9570 5.6026 Å, 90.00 113.51 90.00°
Fractional coordinates of all 4 atoms:
Ta  0.0000  0.0000  0.0000
Tl  0.5000  0.5000  0.0000
As  0.0000  0.5000  0.5000
As  0.5000  0.0000  0.5000

Uncorrected energy, eV per cell: -21.30
Formation energy, meV per atom: 553.3
Space-group type: P2/m, No. 10